Computed, not measured: a geometry-optimized LaIn3Au structure at the GGA-PBE level of DFT.

Properties
Fermi-level density of states   0.33 states/eV/atom
ΔH_f (0 K)   -46.4 kJ/mol of atoms
M_tot   0.00 μB per cell
Theoretical density   8.68 g/cm3
Energy   -3.76 eV per atom

Unit cell a=6.511 b=6.521 c=6.940 alpha=90.00 beta=117.95 gamma=90.00
Space group Cm (No. 8)
One atom of each set of equivalent atoms:
La 0.000 0.000 0.000 (multiplicity 2)
In 0.008 0.251 0.517 (multiplicity 4)
In 0.105 0.500 0.210 (multiplicity 2)
Au 0.387 0.000 0.778 (multiplicity 2)